This record from Alexandria via LeMat-Bulk describes crystalline Pr2TaSe5 at its relaxed geometry. The functional is GGA-PBE.

The structure belongs to space group I4mm (No. 107); the cell edges are 7.315, 7.315 and 8.168 Å and the angles 90.00°, 90.00° and 90.00°. The distinct sites, in fractional coordinates, are Pr at (0.000, 0.500, 0.000), Ta at (0.000, 0.000, 0.162), Se at (0.000, 0.000, 0.884) and Se at (0.242, 0.242, 0.220).

As for the density: 6.52 Mg/m³. For the formation energy (no corrections), the calculation gives -1152 meV per atom. The value obtained for the density of states at the Fermi level is 0.365 states/eV per atom. The uncorrected energy is -6.006 eV/atom.